DFT (PBE) results for crystalline TaAgAu2 at its relaxed geometry.

Properties
DOS at the Fermi energy   0.75 states/eV/atom
Symmetry   No. 47
Uncorrected energy   -21.118 eV/cell
Theoretical density   15.76 g cm⁻³

abc: 2.942 3.865 6.327
angles: 90.00 90.00 90.00
Atoms (fractional coordinates):
1 Au 0.000 0.000 0.487
2 Au 0.000 0.000 0.013
3 Ta 0.500 0.500 0.250
4 Ag 0.500 0.500 0.750